FeBrO2, optimized geometry, DFT GGA+U; crystal system = cubic; DFT total energy = -0.27100 Ry/atom; space-group type = No. 225
1.0
5.7630 0.0000 0.0000
0.0000 5.7630 0.0000
0.0000 0.0000 5.7630
Fe Br O
4 4 8
Cartesian
0.0000 0.0000 0.0000
0.0000 2.8815 2.8815
2.8815 0.0000 2.8815
2.8815 2.8815 0.0000
0.0000 0.0000 2.8815
0.0000 2.8815 0.0000
2.8815 0.0000 0.0000
2.8815 2.8815 2.8815
1.4408 1.4408 1.4408
1.4408 1.4408 4.3223
1.4408 4.3223 1.4408
1.4408 4.3223 4.3223
4.3223 1.4408 1.4408
4.3223 1.4408 4.3223
4.3223 4.3223 1.4408
4.3223 4.3223 4.3223